Entry 1:
VASP calculation (PBE) on a relaxed Tc2W crystal.

a b c (Å): 7.096 7.096 4.376
angles (deg): 90.00 90.00 155.57
Fractional coordinates of all 6 atoms:
Tc (0.430, 0.570, 0.750)
Tc (0.767, 0.233, 0.750)
Tc (0.233, 0.767, 0.250)
Tc (0.570, 0.430, 0.250)
W (0.903, 0.097, 0.250)
W (0.097, 0.903, 0.750)

Energy of formation from the pure elements, eV per atom: 0.137
SG: No. 63
Crystal system: orthorhombic
Calculated density, g/cm³: 13.8
DOS at the Fermi energy, states/eV per cell: 6.26
Electronic total energy, eV per atom: -11.091

=====

Entry 2:
VASP calculation (PBE) on a relaxed Tc3W crystal.

a b c (Å): 3.917 3.917 3.917
angles (deg): 90.00 90.00 90.00
Fractional coordinates of all 4 atoms:
Tc (0.500, 0.000, 0.500)
Tc (0.000, 0.000, 0.000)
Tc (0.000, 0.500, 0.500)
W (0.500, 0.500, 0.000)

Energy of formation from the pure elements, eV per atom: 0.111
SG: No. 221
Crystal system: cubic
Calculated density, g/cm³: 13.2
DOS at the Fermi energy, states/eV per cell: 4.29
Electronic total energy, eV per atom: -10.902

=====

Entry 3:
VASP calculation (PBE) on a relaxed Tc3W5 crystal.

a b c (Å): 5.442 5.442 4.462
angles (deg): 90.00 90.00 70.70
Fractional coordinates of all 8 atoms:
Tc (0.744, 0.744, 0.500)
Tc (0.500, 0.500, 0.000)
Tc (0.256, 0.256, 0.500)
W (0.246, 0.754, 0.500)
W (0.754, 0.246, 0.500)
W (0.500, 0.000, 0.000)
W (0.000, 0.000, 0.000)
W (0.000, 0.500, 0.000)

Energy of formation from the pure elements, eV per atom: 0.059
SG: No. 65
Crystal system: orthorhombic
Calculated density, g/cm³: 16.2
DOS at the Fermi energy, states/eV per cell: 5.10
Electronic total energy, eV per atom: -11.924

=====

Entry 4:
VASP calculation (PBE) on a relaxed Tc3W crystal.

a b c (Å): 2.707 2.707 8.754
angles (deg): 90.00 90.00 109.65
Fractional coordinates of all 4 atoms:
Tc (0.000, 0.000, 0.998)
Tc (0.500, 0.500, 0.750)
Tc (0.000, 0.000, 0.502)
W (0.500, 0.500, 0.250)

Energy of formation from the pure elements, eV per atom: 0.195
SG: No. 65
Crystal system: orthorhombic
Calculated density, g/cm³: 13.1
DOS at the Fermi energy, states/eV per cell: 5.27
Electronic total energy, eV per atom: -10.818

=====

Entry 5:
VASP calculation (PBE) on a relaxed Tc3W crystal.

a b c (Å): 2.780 2.780 8.984
angles (deg): 90.00 90.00 120.00
Fractional coordinates of all 4 atoms:
Tc (0.000, 0.000, 0.009)
Tc (0.000, 0.000, 0.491)
Tc (0.333, 0.667, 0.250)
W (0.333, 0.667, 0.750)

Energy of formation from the pure elements, eV per atom: 0.124
SG: No. 187
Crystal system: hexagonal
Calculated density, g/cm³: 13.2
DOS at the Fermi energy, states/eV per cell: 5.39
Electronic total energy, eV per atom: -10.889

=====

Entry 6:
VASP calculation (PBE) on a relaxed TcW3 crystal.

a b c (Å): 4.737 4.737 4.737
angles (deg): 90.00 90.00 90.00
Fractional coordinates of all 4 atoms:
Tc (0.000, 0.000, 0.000)
W (0.500, 0.000, 0.000)
W (0.000, 0.000, 0.500)
W (0.000, 0.500, 0.000)

Energy of formation from the pure elements, eV per atom: 2.881
SG: No. 221
Crystal system: cubic
Calculated density, g/cm³: 10.1
DOS at the Fermi energy, states/eV per cell: 6.68
Electronic total energy, eV per atom: -9.425

=====

- Among the records above, which one has the lowest DOS at the Fermi energy?
  number 2

=====

- Which value of energy of formation from the pure elements does entry 4 give?
  0.195 eV per atom

=====

- Among the records above, which one has the highest DOS at the Fermi energy?
  TcW3